# 1
This record from Alexandria via LeMat-Bulk describes a relaxed Ti2CrOs crystal. The functional is GGA-PBE.

Results
The value obtained for the uncorrected energy is -9.52 eV/atom. The calculation puts the formation energy from the elements at -34.6 kJ per mole of atoms. As for the space-group type: P4/mmm, No. 123. The value obtained for the density of states at the Fermi level is 1.13 states/eV per atom.

Unit cell a=3.0688 b=4.3591 c=4.3591 alpha=90.00 beta=90.00 gamma=90.00
With the nearest neighbours (Å) after each atom.
Fractional coordinates of all 4 atoms:
Cr: 0.5000 0.0000 0.0000  8 Ti 2.67
Os: 0.5000 0.5000 0.5000  8 Ti 2.67
Ti: 0.0000 0.0000 0.5000  4 Os 2.67, 4 Cr 2.67
Ti: 0.0000 0.5000 0.0000  4 Cr 2.67, 4 Os 2.67

# 2
This record from Alexandria via LeMat-Bulk describes a relaxed LaPuCd2 crystal. The functional is GGA-PBE.

Results
The value obtained for the uncorrected energy is -5.40 eV/atom. The calculation puts the formation energy from the elements at -12.7 kJ per mole of atoms. As for the space-group type: P4/mmm, No. 123. The value obtained for the density of states at the Fermi level is 2.52 states/eV per atom. The value obtained for the excess energy over the best structure of this formula in the dataset is 1 meV/atom.

Unit cell a=4.0074 b=5.3640 c=5.3640 alpha=90.00 beta=90.00 gamma=90.00
With the nearest neighbours (Å) after each atom.
Fractional coordinates of all 4 atoms:
Cd: 0.0000 0.0000 0.5000  4 Pu 3.35, 4 La 3.35
Cd: 0.0000 0.5000 0.0000  4 Pu 3.35, 4 La 3.35
La: 0.5000 0.0000 0.0000  8 Cd 3.35
Pu: 0.5000 0.5000 0.5000  8 Cd 3.35

# 3
This record from Alexandria via LeMat-Bulk describes a relaxed Ca2CuPdRh crystal. The functional is GGA-PBE.

Results
The value obtained for the uncorrected energy is -3.83 eV/atom. The calculation puts the formation energy from the elements at 28.8 kJ per mole of atoms. As for the space-group type: P4/mmm, No. 123. The value obtained for the density of states at the Fermi level is 0.41 states/eV per atom.

Unit cell a=5.1780 b=4.5480 c=5.1780 alpha=90.00 beta=90.00 gamma=90.00
With the nearest neighbours (Å) after each atom.
Fractional coordinates of all 5 atoms:
Ca: 0.0000 0.0000 0.5000  2 Cu 2.59
Ca: 0.5000 0.0000 0.0000  2 Cu 2.59
Rh: 0.5000 0.5000 0.5000  8 Ca 3.45, 4 Pd 3.66
Cu: 0.0000 0.0000 0.0000  2 Pd 2.27
Pd: 0.0000 0.5000 0.0000  2 Cu 2.27

# 4
This record from Alexandria via LeMat-Bulk describes a relaxed SmPaGaPd crystal. The functional is GGA-PBE.

Results
The value obtained for the uncorrected energy is -5.92 eV/atom. The calculation puts the formation energy from the elements at -30.2 kJ per mole of atoms. As for the space-group type: F-43m, No. 216. The value obtained for the density of states at the Fermi level is 1.77 states/eV per atom.

Unit cell a=5.0689 b=5.0689 c=5.0689 alpha=60.00 beta=60.00 gamma=60.00
With the nearest neighbours (Å) after each atom.
Fractional coordinates of all 4 atoms:
Ga: 0.2500 0.2500 0.2500  4 Sm 3.10, 4 Pa 3.10
Pa: 0.0000 0.0000 0.0000  4 Ga 3.10, 4 Pd 3.10
Pd: 0.7500 0.7500 0.7500  4 Pa 3.10, 4 Sm 3.10
Sm: 0.5000 0.5000 0.5000  4 Pd 3.10, 4 Ga 3.10

# 5
This record from Alexandria via LeMat-Bulk describes a relaxed Ni2SbIr2 crystal. The functional is GGA-PBE.

Results
The value obtained for the uncorrected energy is -6.47 eV/atom. As for the space-group type: P4/mbm, No. 127. The value obtained for the density of states at the Fermi level is 1.45 states/eV per atom. The calculation puts the uncorrected formation energy at 0.207 eV/atom.

Unit cell a=7.2404 b=7.2404 c=2.8559 alpha=90.00 beta=90.00 gamma=90.00
With the nearest neighbours (Å) after each atom.
Fractional coordinates of all 10 atoms:
Sb: 0.0000 0.0000 0.0000  4 Ir 2.84, 2 Sb 2.86, 8 Ni 3.06
Sb: 0.5000 0.5000 0.0000  4 Ir 2.84, 2 Sb 2.86, 8 Ni 3.06
Ir: 0.3692 0.8692 0.0000  6 Ni 2.53-2.59, 1 Ir 2.68
Ir: 0.8692 0.6308 0.0000  6 Ni 2.53-2.59, 1 Ir 2.68
Ir: 0.6308 0.1308 0.0000  6 Ni 2.53-2.59, 1 Ir 2.68
Ir: 0.1308 0.3692 0.0000  6 Ni 2.53-2.59, 1 Ir 2.68
Ni: 0.1657 0.6657 0.5000  6 Ir 2.53-2.59
Ni: 0.6657 0.8343 0.5000  6 Ir 2.53-2.59
Ni: 0.8343 0.3343 0.5000  6 Ir 2.53-2.59
Ni: 0.3343 0.1657 0.5000  6 Ir 2.53-2.59

# 6
This record from Alexandria via LeMat-Bulk describes a relaxed SrCdGa4 crystal. The functional is GGA-PBE.

Results
The value obtained for the uncorrected energy is -2.69 eV/atom. The calculation puts the formation energy from the elements at -23.3 kJ per mole of atoms. As for the space-group type: Pbam, No. 55. The value obtained for the density of states at the Fermi level is 0.35 states/eV per atom. The value obtained for the excess energy over the best structure of this formula in the dataset is 0 meV/atom.

Unit cell a=4.2427 b=8.3220 c=15.9576 alpha=90.00 beta=90.00 gamma=90.00
With the nearest neighbours (Å) after each atom.
Fractional coordinates of all 24 atoms:
Sr: 0.0000 0.6295 0.3505  14 Ga 3.40-3.72
Sr: 0.0000 0.3705 0.6495  14 Ga 3.40-3.72
Sr: 0.0000 0.1295 0.1495  14 Ga 3.40-3.72
Sr: 0.0000 0.8705 0.8505  14 Ga 3.40-3.72
Cd: 0.0000 0.6390 0.0904  10 Ga 2.91-3.09
Cd: 0.0000 0.3610 0.9096  10 Ga 2.91-3.09
Cd: 0.0000 0.1390 0.4096  10 Ga 2.91-3.09
Cd: 0.0000 0.8610 0.5904  10 Ga 2.91-3.09
Ga: 0.5000 0.7918 0.1865  3 Ga 2.47-2.55
Ga: 0.5000 0.2082 0.8135  3 Ga 2.47-2.55
Ga: 0.5000 0.2918 0.3135  3 Ga 2.47-2.55
Ga: 0.5000 0.7082 0.6865  3 Ga 2.47-2.55
Ga: 0.5000 0.8667 0.0320  3 Ga 2.44-2.54
Ga: 0.5000 0.1333 0.9680  3 Ga 2.44-2.54
Ga: 0.5000 0.3667 0.4680  3 Ga 2.44-2.54
Ga: 0.5000 0.6333 0.5320  3 Ga 2.44-2.54
Ga: 0.5000 0.8853 0.4498  3 Ga 2.47-2.49
Ga: 0.5000 0.1147 0.5502  3 Ga 2.47-2.49
Ga: 0.5000 0.3853 0.0502  3 Ga 2.47-2.49
Ga: 0.5000 0.6147 0.9498  3 Ga 2.47-2.49
Ga: 0.5000 0.9854 0.3036  3 Ga 2.47-2.55
Ga: 0.5000 0.0146 0.6964  3 Ga 2.47-2.55
Ga: 0.5000 0.4854 0.1964  3 Ga 2.47-2.55
Ga: 0.5000 0.5146 0.8036  3 Ga 2.47-2.55

Which of these has the highest uncorrected energy? SrCdGa4